Record 1
First-principles (GGA-PBE) data for a relaxed La4PRuI2 crystal, as listed in Alexandria via LeMat-Bulk.

a b c (Å): 7.592 4.232 8.341
angles (deg): 90.00 105.65 90.00
Space group P2/m (No. 10)
Unique sites:
La1 0.223 0.000 0.189 (multiplicity 2)
La2 0.255 0.500 0.817 (multiplicity 2)
P1 0.500 0.000 0.000 (multiplicity 1)
Ru1 0.000 0.500 0.000 (multiplicity 1)
I1 0.000 0.000 0.500 (multiplicity 1)
I2 0.500 0.500 0.500 (multiplicity 1)

Summary:
The formation energy (no corrections) is -844 kJ/mol of formula units.



Record 2
First-principles (GGA-PBE) data for a relaxed ZnCd crystal, as listed in Alexandria via LeMat-Bulk.

a b c (Å): 7.274 8.311 11.041
angles (deg): 90.00 90.00 90.00
Space group Fddd (No. 70, origin choice 2)
Unique sites:
Zn1 0.049 0.375 0.375 (multiplicity 16)
Cd1 0.125 0.314 0.625 (multiplicity 16)

Summary:
The value obtained for the energy of formation from the pure elements is 0.26 eV per formula unit.



Number 1: total moment 0.00 μB per formula unit. Number 2: total moment 0.00 μB per formula unit.